(1)
3
Lattice="-2.410 -0.212 -2.680 2.686 -0.019 -2.413 0.067 -5.677 2.821" Properties=species:S:1:pos:R:3 comment="PBEsol AlTlBr, optimized geometry" dos_ef_per_ev_fu=1.168 de_polymorph_ev_per_atom=0.0000 total_energy_ev_per_cell=-8.8 total_magnetization_mub_per_atom=0.00 pbc="T T T"
Tl 0.145 -4.084 0.193
Al 0.003 -0.083 0.004
Br 0.195 -1.741 -2.470

(2)
4
Lattice="5.395 0.000 0.000 2.698 4.673 0.000 2.698 1.558 4.405" Properties=species:S:1:pos:R:3 comment="PBEsol AlTlBr2, optimized geometry" total_energy_ev_per_cell=-12.1 total_magnetization_mub_per_atom=0.00 pbc="T T T"
Tl 5.395 3.115 2.203
Al 0.000 0.000 0.000
Br 8.093 4.673 3.304
Br 2.698 1.558 1.101

(3)
4
Lattice="3.290 0.000 0.000 0.000 5.281 0.000 0.000 0.000 5.281" Properties=species:S:1:pos:R:3 comment="PBEsol Al2TlBr, optimized geometry" dos_ef_per_ev_fu=1.772 total_energy_ev_per_cell=-12.1 total_magnetization_mub_per_atom=0.00 pbc="T T T"
Tl 1.645 0.000 0.000
Al 0.000 0.000 2.640
Al 0.000 2.640 0.000
Br 1.645 2.640 2.640

Please write out number 2 again, unchanged.
4
Lattice="5.395 0.000 0.000 2.698 4.673 0.000 2.698 1.558 4.405" Properties=species:S:1:pos:R:3 comment="PBEsol AlTlBr2, optimized geometry" total_energy_ev_per_cell=-12.1 total_magnetization_mub_per_atom=0.00 pbc="T T T"
Tl 5.395 3.115 2.203
Al 0.000 0.000 0.000
Br 8.093 4.673 3.304
Br 2.698 1.558 1.101

What is the formula in the third record? Al2TlBr